Dy8GeAs4Se3 | PBE-GGA | optimized geometry

Output
Energy relative to the elements, uncorrected = -1609 meV/atom
Total moment = 0.000 μB per cell
N(E_F) = 2.1 states/eV/cell
V = 393 Å³/cell

Unit cell a=8.223 b=8.220 c=8.223 alpha=120.01 beta=120.00 gamma=90.00
Positions (direct):
Dy (0.754, 0.762, 0.508)
Se (0.500, 0.500, 0.500)
As (0.000, 0.000, 0.000)
Dy (0.752, 0.246, 0.994)
Dy (0.248, 0.754, 0.497)
Dy (0.246, 0.238, 0.492)
As (0.500, 0.000, 0.500)
Dy (0.248, 0.754, 0.006)
Se (0.500, 0.500, 0.000)
As (0.500, 0.000, 0.000)
Dy (0.757, 0.754, 0.006)
Dy (0.243, 0.246, 0.994)
Se (0.000, 0.500, 0.500)
Ge (0.000, 0.500, 0.000)
Dy (0.752, 0.246, 0.503)
As (0.000, 0.000, 0.500)